#1
The following is a DFT calculation (PBE) of a geometry-optimized K3IrO3 structure.

Values from the calculation:
Total magnetic moment (μB per formula unit): 0.0

a = 9.7457 Å, b = 9.7457 Å, c = 5.3046 Å
α = 90.00°, β = 90.00°, γ = 120.00°
Space group R3m (No. 160, hexagonal axes)
Asymmetric unit:
K: 0.1971 0.3942 0.0000 [9 per cell]
Ir: 0.0000 0.0000 0.8297 [3 per cell]
O: 0.2219 0.1109 0.8350 [9 per cell]

---

#2
The following is a DFT calculation (PBE) of a geometry-optimized K3IrO3 structure.

Values from the calculation:
Total magnetic moment (μB per formula unit): 0.0

a = 8.120 Å, b = 14.042 Å, c = 5.506 Å
α = 90.00°, β = 90.00°, γ = 90.00°
Space group Cmcm (No. 63)
Asymmetric unit:
K: 0.000 0.181 0.250 [4 per cell]
K: 0.227 0.409 0.250 [8 per cell]
Ir: 0.000 0.333 0.750 [4 per cell]
O: 0.000 0.200 0.750 [4 per cell]
O: 0.200 0.400 0.750 [8 per cell]

---

Which structure is most stable? #2, by 7.1 kJ/mol of atoms over the runner-up.

---

#1
The following is a DFT calculation (PBE) of a geometry-optimized KPIrO2 structure.

Values from the calculation:
Total magnetic moment (μB per formula unit): 2.0

a = 4.144 Å, b = 4.144 Å, c = 4.612 Å
α = 90.00°, β = 90.00°, γ = 90.00°
Space group P4/mmm (No. 123)
Asymmetric unit:
K: 0.000 0.000 0.000 [1 per cell]
P: 0.500 0.500 0.000 [1 per cell]
Ir: 0.500 0.500 0.500 [1 per cell]
O: 0.000 0.500 0.500 [2 per cell]

---

#2
The following is a DFT calculation (PBE) of a geometry-optimized KPIrO2 structure.

Values from the calculation:
Total magnetic moment (μB per formula unit): 1.9

a = 3.907 Å, b = 3.907 Å, c = 6.572 Å
α = 90.00°, β = 90.00°, γ = 90.00°
Space group P4/mmm (No. 123)
Asymmetric unit:
K: 0.000 0.000 0.000 [1 per cell]
P: 0.000 0.000 0.500 [1 per cell]
Ir: 0.500 0.500 0.500 [1 per cell]
O: 0.000 0.500 0.000 [2 per cell]

---

Which structure is most stable? #1, by 184.9 kJ/mol of atoms over the runner-up.